No. 1
Crystalline Ag4OsBr at its relaxed geometry. Source: Alexandria, functional GGA-PBE.

Cell lengths 5.526, 5.526, 5.526 Å; angles 60.00, 60.00, 60.00 degrees
Sites, in units of the cell vectors:
Ag  0.125  0.125  0.125
Ag  0.125  0.125  0.624
Ag  0.125  0.624  0.125
Ag  0.624  0.125  0.125
Os  0.500  0.500  0.500
Br  0.750  0.750  0.750

Calculated values
The calculation puts the uncorrected formation energy at 0.964 eV per atom. The space group is F-43m. Its total energy is -3.087 eV per atom. Its volume is 119.3 Å³/cell.

No. 2
Crystalline AgOsBr2 at its relaxed geometry. Source: Alexandria, functional GGA-PBE.

Cell lengths 4.396, 3.214, 7.559 Å; angles 90.00, 106.74, 90.00 degrees
Sites, in units of the cell vectors:
Ag  0.000  0.000  0.000
Os  0.541  0.500  0.083
Br  0.374  0.500  0.745
Br  0.668  0.000  0.339

Calculated values
The calculation puts the uncorrected formation energy at 0.459 eV per atom. The space group is Pm. Its total energy is -3.898 eV per atom. The value obtained for the energy above the lowest structure with this stoichiometry is 0.0 kJ/mol of formula units. Its volume is 102.3 Å³/cell.

No. 3
Crystalline AgOs2Br at its relaxed geometry. Source: Alexandria, functional GGA-PBE.

Cell lengths 2.820, 2.820, 10.365 Å; angles 90.00, 90.00, 119.98 degrees
Sites, in units of the cell vectors:
Ag  0.000  0.000  0.000
Os  0.000  0.000  0.446
Os  0.500  0.500  0.243
Br  0.500  0.500  0.718

Calculated values
The calculation puts the uncorrected formation energy at 0.872 eV per atom. The space group is Cmm2. Its total energy is -5.874 eV per atom. The value obtained for the energy above the lowest structure with this stoichiometry is 127.1 kJ/mol of formula units. Its volume is 71.4 Å³/cell.

No. 4
Crystalline Pm6AgOs2Br3 at its relaxed geometry. Source: Alexandria, functional GGA-PBE.

Cell lengths 7.237, 7.237, 8.179 Å; angles 98.43, 98.43, 120.06 degrees
Sites, in units of the cell vectors:
Pm  0.071  0.434  0.800
Pm  0.203  0.203  0.199
Pm  0.434  0.071  0.800
Pm  0.566  0.929  0.200
Pm  0.797  0.797  0.801
Pm  0.929  0.566  0.200
Ag  0.500  0.500  0.000
Os  0.167  0.833  0.000
Os  0.833  0.167  0.000
Br  0.000  0.000  0.500
Br  0.332  0.668  0.500
Br  0.668  0.332  0.500

Calculated values
The calculation puts the uncorrected formation energy at -0.742 eV per atom. The space group is C2/m. Its total energy is -5.645 eV per atom. Its volume is 354.4 Å³/cell.

No. 5
Crystalline Pr6AgOs2Br3 at its relaxed geometry. Source: Alexandria, functional GGA-PBE.

Cell lengths 7.334, 7.334, 8.286 Å; angles 98.44, 98.44, 120.05 degrees
Sites, in units of the cell vectors:
Pr  0.072  0.433  0.800
Pr  0.204  0.204  0.200
Pr  0.433  0.072  0.800
Pr  0.567  0.928  0.200
Pr  0.796  0.796  0.800
Pr  0.928  0.567  0.200
Ag  0.500  0.500  0.000
Os  0.167  0.833  0.000
Os  0.833  0.167  0.000
Br  0.000  0.000  0.500
Br  0.332  0.668  0.500
Br  0.668  0.332  0.500

Calculated values
The calculation puts the uncorrected formation energy at -0.732 eV per atom. The space group is C2/m. Its total energy is -5.649 eV per atom. Its volume is 368.8 Å³/cell.

No. 6
Crystalline Pr4AgOsBr2 at its relaxed geometry. Source: Alexandria, functional GGA-PBE.

Cell lengths 7.425, 4.244, 8.244 Å; angles 90.00, 107.30, 90.00 degrees
Sites, in units of the cell vectors:
Pr  0.218  0.000  0.200
Pr  0.236  0.500  0.793
Pr  0.764  0.500  0.207
Pr  0.782  0.000  0.800
Ag  0.500  0.000  0.000
Os  0.000  0.500  0.000
Br  0.000  0.000  0.500
Br  0.500  0.500  0.500

Calculated values
The calculation puts the uncorrected formation energy at -0.702 eV per atom. The space group is P2/m. Its total energy is -5.270 eV per atom. Its volume is 248.1 Å³/cell.

No. 7
Crystalline AgOsPt2Br at its relaxed geometry. Source: Alexandria, functional GGA-PBE.

Cell lengths 4.751, 4.751, 4.535 Å; angles 90.00, 90.00, 90.00 degrees
Sites, in units of the cell vectors:
Ag  0.000  0.000  0.000
Os  0.500  0.500  0.000
Pt  0.000  0.500  0.500
Pt  0.500  0.000  0.500
Br  0.500  0.500  0.500

Calculated values
The calculation puts the uncorrected formation energy at 1.618 eV per atom. The space group is P4/mmm. Its total energy is -3.949 eV per atom. Its volume is 102.3 Å³/cell.

No. 8
Crystalline RbAg2OsBr8 at its relaxed geometry. Source: Alexandria, functional GGA-PBE.

Cell lengths 6.629, 7.403, 9.050 Å; angles 72.52, 83.42, 87.05 degrees
Sites, in units of the cell vectors:
Rb  0.000  0.000  0.000
Ag  0.492  0.518  0.808
Ag  0.508  0.482  0.192
Os  0.000  0.500  0.500
Br  0.072  0.506  0.766
Br  0.173  0.805  0.382
Br  0.326  0.321  0.475
Br  0.493  0.210  0.049
Br  0.507  0.790  0.951
Br  0.674  0.679  0.525
Br  0.827  0.195  0.618
Br  0.928  0.494  0.234

Calculated values
The calculation puts the uncorrected formation energy at -0.460 eV per atom. The space group is P-1. Its total energy is -3.067 eV per atom. Its volume is 420.7 Å³/cell.